1.
# Ce2Sm2Bi5 | the Alexandria database | PBE-GGA | optimized geometry
data_Ce2Sm2Bi5
_chemical_formula_sum 'Ce4 Sm4 Bi10'
_cell_length_a 8.535
_cell_length_b 9.077
_cell_length_c 9.077
_cell_angle_alpha 124.32
_cell_angle_beta 90.00
_cell_angle_gamma 90.00
_space_group_name_H-M_alt 'P 1'
_space_group_IT_number 1
_space_group_name_Hall 'P 1'
loop_
_atom_site_label
_atom_site_type_symbol
_atom_site_fract_x
_atom_site_fract_y
_atom_site_fract_z
Ce1 Ce 0.000 0.192 0.808
Ce2 Ce 0.500 0.692 0.308
Ce3 Ce 0.000 0.808 0.192
Ce4 Ce 0.500 0.308 0.692
Sm1 Sm 0.845 0.347 0.347
Sm2 Sm 0.155 0.653 0.653
Sm3 Sm 0.345 0.153 0.153
Sm4 Sm 0.655 0.847 0.847
Bi1 Bi 0.152 0.486 0.205
Bi2 Bi 0.500 0.500 0.500
Bi3 Bi 0.848 0.514 0.795
Bi4 Bi 0.348 0.705 0.986
Bi5 Bi 0.000 0.000 0.000
Bi6 Bi 0.652 0.295 0.014
Bi7 Bi 0.848 0.795 0.514
Bi8 Bi 0.348 0.986 0.705
Bi9 Bi 0.152 0.205 0.486
Bi10 Bi 0.652 0.014 0.295
# E_form   -0.71 eV per atom
# V   32.268 Å³/atom
# Space-group type   Cmce (64)

***

2.
# CeSmBi2 | the Alexandria database | PBE-GGA | optimized geometry
data_CeSmBi2
_chemical_formula_sum 'Ce4 Sm4 Bi8'
_cell_length_a 7.653
_cell_length_b 7.876
_cell_length_c 9.080
_cell_angle_alpha 90.00
_cell_angle_beta 90.00
_cell_angle_gamma 90.00
_space_group_name_H-M_alt 'P 1'
_space_group_IT_number 1
_space_group_name_Hall 'P 1'
loop_
_atom_site_label
_atom_site_type_symbol
_atom_site_fract_x
_atom_site_fract_y
_atom_site_fract_z
Bi1 Bi 0.500 0.250 0.876
Bi2 Bi 0.500 0.750 0.626
Bi3 Bi 0.500 0.750 0.124
Bi4 Bi 0.000 0.750 0.626
Bi5 Bi 0.000 0.250 0.876
Bi6 Bi 0.000 0.250 0.374
Bi7 Bi 0.000 0.750 0.124
Bi8 Bi 0.500 0.250 0.374
Sm1 Sm 0.250 0.918 0.875
Sm2 Sm 0.750 0.082 0.125
Sm3 Sm 0.750 0.582 0.875
Sm4 Sm 0.250 0.418 0.125
Ce1 Ce 0.750 0.584 0.375
Ce2 Ce 0.750 0.084 0.625
Ce3 Ce 0.250 0.916 0.375
Ce4 Ce 0.250 0.416 0.625
# E_form   -0.75 eV per atom
# V   34.207 Å³/atom
# Space-group type   Pbcm (57)
# Offset from the most stable computed form   0.117 eV/atom

***

3.
# Ce4SmBi5 | the Alexandria database | PBE-GGA | optimized geometry
data_Ce4SmBi5
_chemical_formula_sum 'Ce4 Sm1 Bi5'
_cell_length_a 4.584
_cell_length_b 6.498
_cell_length_c 12.169
_cell_angle_alpha 105.48
_cell_angle_beta 100.86
_cell_angle_gamma 90.00
_space_group_name_H-M_alt 'P 1'
_space_group_IT_number 1
_space_group_name_Hall 'P 1'
loop_
_atom_site_label
_atom_site_type_symbol
_atom_site_fract_x
_atom_site_fract_y
_atom_site_fract_z
Bi1 Bi 0.000 0.500 0.000
Bi2 Bi 0.200 0.700 0.400
Bi3 Bi 0.600 0.100 0.199
Bi4 Bi 0.800 0.300 0.600
Bi5 Bi 0.400 0.900 0.801
Ce1 Ce 0.400 0.400 0.801
Ce2 Ce 0.199 0.199 0.399
Ce3 Ce 0.600 0.600 0.199
Ce4 Ce 0.801 0.801 0.601
Sm1 Sm 0.000 0.000 0.000
# E_form   -0.82 eV per atom
# V   34.258 Å³/atom
# Space-group type   Immm (71)

***

4.
# Ce2SmBi | the Alexandria database | PBE-GGA | optimized geometry
data_Ce2SmBi
_chemical_formula_sum 'Ce4 Sm2 Bi2'
_cell_length_a 4.531
_cell_length_b 4.413
_cell_length_c 11.893
_cell_angle_alpha 90.00
_cell_angle_beta 100.37
_cell_angle_gamma 90.00
_space_group_name_H-M_alt 'P 1'
_space_group_IT_number 1
_space_group_name_Hall 'P 1'
loop_
_atom_site_label
_atom_site_type_symbol
_atom_site_fract_x
_atom_site_fract_y
_atom_site_fract_z
Ce1 Ce 0.996 0.750 0.114
Ce2 Ce 0.004 0.250 0.886
Ce3 Ce 0.600 0.250 0.110
Ce4 Ce 0.400 0.750 0.890
Bi1 Bi 0.824 0.750 0.668
Bi2 Bi 0.176 0.250 0.332
Sm1 Sm 0.302 0.250 0.611
Sm2 Sm 0.698 0.750 0.389
# E_form   -0.45 eV per atom
# V   29.242 Å³/atom
# Space-group type   P2_1/m (11)
# Offset from the most stable computed form   0.000 eV/atom

***

5.
# CeSmBi2 | the Alexandria database | PBE-GGA | optimized geometry
data_CeSmBi2
_chemical_formula_sum 'Ce1 Sm1 Bi2'
_cell_length_a 4.538
_cell_length_b 4.538
_cell_length_c 8.218
_cell_angle_alpha 73.97
_cell_angle_beta 73.97
_cell_angle_gamma 60.00
_space_group_name_H-M_alt 'P 1'
_space_group_IT_number 1
_space_group_name_Hall 'P 1'
loop_
_atom_site_label
_atom_site_type_symbol
_atom_site_fract_x
_atom_site_fract_y
_atom_site_fract_z
Bi1 Bi 0.251 0.251 0.247
Bi2 Bi 0.082 0.082 0.753
Sm1 Sm 0.498 0.498 0.507
Ce1 Ce 0.669 0.669 0.993
# E_form   -0.75 eV per atom
# V   34.728 Å³/atom
# Space-group type   R3m (160)
# Offset from the most stable computed form   0.110 eV/atom

***

6.
# CeSmBi2 | the Alexandria database | PBE-GGA | optimized geometry
data_CeSmBi2
_chemical_formula_sum 'Ce1 Sm1 Bi2'
_cell_length_a 5.575
_cell_length_b 5.575
_cell_length_c 5.575
_cell_angle_alpha 60.00
_cell_angle_beta 60.00
_cell_angle_gamma 60.00
_space_group_name_H-M_alt 'P 1'
_space_group_IT_number 1
_space_group_name_Hall 'P 1'
loop_
_atom_site_label
_atom_site_type_symbol
_atom_site_fract_x
_atom_site_fract_y
_atom_site_fract_z
Sm1 Sm 0.000 0.000 0.000
Ce1 Ce 0.500 0.500 0.500
Bi1 Bi 0.250 0.250 0.250
Bi2 Bi 0.750 0.750 0.750
# E_form   -0.66 eV per atom
# V   30.634 Å³/atom
# Space-group type   Fm-3m (225)
# Offset from the most stable computed form   0.206 eV/atom

***

7.
# Ce2SmBi | the Alexandria database | PBE-GGA | optimized geometry
data_Ce2SmBi
_chemical_formula_sum 'Ce2 Sm1 Bi1'
_cell_length_a 3.467
_cell_length_b 3.467
_cell_length_c 12.578
_cell_angle_alpha 82.08
_cell_angle_beta 82.08
_cell_angle_gamma 60.00
_space_group_name_H-M_alt 'P 1'
_space_group_IT_number 1
_space_group_name_Hall 'P 1'
loop_
_atom_site_label
_atom_site_type_symbol
_atom_site_fract_x
_atom_site_fract_y
_atom_site_fract_z
Ce1 Ce 0.087 0.087 0.738
Ce2 Ce 0.913 0.913 0.262
Sm1 Sm 0.500 0.500 0.500
Bi1 Bi 0.000 0.000 0.000
# E_form   0.11 eV per atom
# V   32.324 Å³/atom
# Space-group type   R-3m (166)
# Offset from the most stable computed form   0.563 eV/atom

***

8.
# Ce2SmBi | the Alexandria database | PBE-GGA | optimized geometry
data_Ce2SmBi
_chemical_formula_sum 'Ce2 Sm1 Bi1'
_cell_length_a 4.297
_cell_length_b 4.297
_cell_length_c 6.814
_cell_angle_alpha 90.00
_cell_angle_beta 90.00
_cell_angle_gamma 90.00
_space_group_name_H-M_alt 'P 1'
_space_group_IT_number 1
_space_group_name_Hall 'P 1'
loop_
_atom_site_label
_atom_site_type_symbol
_atom_site_fract_x
_atom_site_fract_y
_atom_site_fract_z
Bi1 Bi 0.500 0.500 0.500
Ce1 Ce 0.000 0.000 0.698
Ce2 Ce 0.000 0.000 0.302
Sm1 Sm 0.500 0.500 0.000
# E_form   -0.33 eV per atom
# V   31.448 Å³/atom
# Space-group type   P4/mmm (123)
# Offset from the most stable computed form   0.119 eV/atom

***

9.
# CeSm5Bi5 | the Alexandria database | PBE-GGA | optimized geometry
data_CeSm5Bi5
_chemical_formula_sum 'Ce1 Sm5 Bi5'
_cell_length_a 6.406
_cell_length_b 7.812
_cell_length_c 9.022
_cell_angle_alpha 106.76
_cell_angle_beta 90.00
_cell_angle_gamma 114.21
_space_group_name_H-M_alt 'P 1'
_space_group_IT_number 1
_space_group_name_Hall 'P 1'
loop_
_atom_site_label
_atom_site_type_symbol
_atom_site_fract_x
_atom_site_fract_y
_atom_site_fract_z
Sm1 Sm 0.335 0.670 0.170
Sm2 Sm 0.666 0.331 0.335
Sm3 Sm 0.000 0.000 0.500
Sm4 Sm 0.665 0.330 0.830
Sm5 Sm 0.334 0.669 0.665
Bi1 Bi 0.169 0.338 0.832
Bi2 Bi 0.831 0.662 0.168
Bi3 Bi 0.833 0.667 0.665
Bi4 Bi 0.500 0.000 0.000
Bi5 Bi 0.167 0.333 0.335
Ce1 Ce 0.000 0.000 0.000
# E_form   -0.72 eV per atom
# V   35.520 Å³/atom
# Space-group type   C2/m (12)

***

10.
# Ce3SmBi4 | the Alexandria database | PBE-GGA | optimized geometry
data_Ce3SmBi4
_chemical_formula_sum 'Ce3 Sm1 Bi4'
_cell_length_a 4.595
_cell_length_b 7.948
_cell_length_c 7.948
_cell_angle_alpha 109.49
_cell_angle_beta 90.00
_cell_angle_gamma 90.00
_space_group_name_H-M_alt 'P 1'
_space_group_IT_number 1
_space_group_name_Hall 'P 1'
loop_
_atom_site_label
_atom_site_type_symbol
_atom_site_fract_x
_atom_site_fract_y
_atom_site_fract_z
Ce1 Ce 0.000 0.500 0.000
Ce2 Ce 0.000 0.000 0.500
Ce3 Ce 0.500 0.500 0.500
Bi1 Bi 0.000 0.751 0.751
Bi2 Bi 0.500 0.250 0.750
Bi3 Bi 0.500 0.750 0.250
Bi4 Bi 0.000 0.249 0.249
Sm1 Sm 0.500 0.000 0.000
# E_form   -0.82 eV per atom
# V   34.202 Å³/atom
# Space-group type   Cmmm (65)

***

11.
# CeSm3Bi4 | the Alexandria database | PBE-GGA | optimized geometry
data_CeSm3Bi4
_chemical_formula_sum 'Ce1 Sm3 Bi4'
_cell_length_a 6.461
_cell_length_b 6.461
_cell_length_c 6.461
_cell_angle_alpha 90.00
_cell_angle_beta 90.00
_cell_angle_gamma 90.00
_space_group_name_H-M_alt 'P 1'
_space_group_IT_number 1
_space_group_name_Hall 'P 1'
loop_
_atom_site_label
_atom_site_type_symbol
_atom_site_fract_x
_atom_site_fract_y
_atom_site_fract_z
Bi1 Bi 0.500 0.000 0.000
Bi2 Bi 0.000 0.500 0.000
Bi3 Bi 0.500 0.500 0.500
Bi4 Bi 0.000 0.000 0.500
Sm1 Sm 0.000 0.500 0.500
Sm2 Sm 0.500 0.500 0.000
Sm3 Sm 0.500 0.000 0.500
Ce1 Ce 0.000 0.000 0.000
# E_form   -0.89 eV per atom
# V   33.720 Å³/atom
# Space-group type   Pm-3m (221)

***

12.
# Ce2SmBi3 | the Alexandria database | PBE-GGA | optimized geometry
data_Ce2SmBi3
_chemical_formula_sum 'Ce8 Sm4 Bi12'
_cell_length_a 7.944
_cell_length_b 7.944
_cell_length_c 14.510
_cell_angle_alpha 100.51
_cell_angle_beta 100.51
_cell_angle_gamma 109.48
_space_group_name_H-M_alt 'P 1'
_space_group_IT_number 1
_space_group_name_Hall 'P 1'
loop_
_atom_site_label
_atom_site_type_symbol
_atom_site_fract_x
_atom_site_fract_y
_atom_site_fract_z
Ce1 Ce 0.833 0.333 0.666
Ce2 Ce 0.500 0.000 0.000
Ce3 Ce 0.417 0.417 0.834
Ce4 Ce 0.250 0.250 0.500
Ce5 Ce 0.750 0.750 0.500
Ce6 Ce 0.000 0.500 0.000
Ce7 Ce 0.583 0.583 0.166
Ce8 Ce 0.667 0.167 0.334
Bi1 Bi 0.666 0.166 0.833
Bi2 Bi 0.499 0.999 0.500
Bi3 Bi 0.834 0.334 0.167
Bi4 Bi 0.416 0.416 0.333
Bi5 Bi 0.083 0.083 0.667
Bi6 Bi 0.333 0.833 0.167
Bi7 Bi 0.001 0.501 0.500
Bi8 Bi 0.917 0.917 0.333
Bi9 Bi 0.249 0.249 0.000
Bi10 Bi 0.751 0.751 0.000
Bi11 Bi 0.584 0.584 0.667
Bi12 Bi 0.167 0.667 0.833
Sm1 Sm 0.917 0.917 0.833
Sm2 Sm 0.083 0.083 0.167
Sm3 Sm 0.333 0.833 0.667
Sm4 Sm 0.167 0.667 0.333
# E_form   -0.84 eV per atom
# V   34.122 Å³/atom
# Space-group type   Fddd (70)